# 1
Compound: PmNbP
Source: the Alexandria database
Functional: PBE-GGA
Structure: relaxed

The structure in POSCAR format:
```
PmNbP
1.0
5.069 -1.918 0.000
5.069 1.918 0.000
-1.477 0.000 7.006
Pm Nb P
2 2 2
direct
0.109 0.109 0.322
0.891 0.891 0.678
0.364 0.364 0.058
0.636 0.636 0.942
0.192 0.192 0.740
0.808 0.808 0.260
```

DFT total energy in eV for the cell shown: -45.11
Crystal system: monoclinic
Space group: C2/m (12)
Density of states at the Fermi level in states/eV/cell: 3.77
M_tot in μB/f.u.: 0.0

# 2
Compound: FeNiRu2
Source: the Alexandria database
Functional: PBE-GGA
Structure: relaxed

The structure in POSCAR format:
```
FeNiRu2
1.0
2.676 0.000 0.000
0.000 3.683 0.000
-0.009 0.000 5.200
Fe Ni Ru
1 1 2
direct
0.000 0.000 0.000
0.499 0.500 0.773
0.000 0.000 0.512
0.500 0.500 0.269
```

DFT total energy in eV for the cell shown: -32.43
Crystal system: monoclinic
Space group: Pm (6)
Density of states at the Fermi level in states/eV/cell: 4.49
M_tot in μB/f.u.: 2.9

# 3
Compound: La2ScAl3Au4
Source: the Alexandria database
Functional: PBE-GGA
Structure: relaxed

The structure in POSCAR format:
```
La2ScAl3Au4
1.0
4.546 0.000 0.000
0.000 4.546 0.000
0.000 0.000 10.646
La Sc Al Au
2 1 3 4
direct
0.000 0.500 0.236
0.500 0.000 0.764
0.000 0.000 0.500
0.000 0.500 0.876
0.500 0.000 0.124
0.500 0.500 0.500
0.000 0.000 0.000
0.000 0.500 0.641
0.500 0.000 0.359
0.500 0.500 0.000
```

DFT total energy in eV for the cell shown: -47.90
Crystal system: tetragonal
Space group: P-4m2 (115)
Density of states at the Fermi level in states/eV/cell: 7.23
M_tot in μB/f.u.: 0.0

# 4
Compound: MgRuRh2
Source: the Alexandria database
Functional: PBE-GGA
Structure: relaxed

The structure in POSCAR format:
```
MgRuRh2
1.0
2.857 0.000 0.000
0.000 4.483 0.000
0.000 0.000 4.598
Mg Ru Rh
1 1 2
direct
0.000 0.000 0.000
0.500 0.000 0.500
0.000 0.500 0.500
0.500 0.500 0.000
```

DFT total energy in eV for the cell shown: -25.39
Crystal system: orthorhombic
Space group: Pmmm (47)
Density of states at the Fermi level in states/eV/cell: 4.97
M_tot in μB/f.u.: 1.0

no.,formation enthalpy at 0 K (eV per atom)
1,-0.776
2,0.091
3,-0.738
4,0.045